1.
DFT (PBE-GGA) results for a geometry-optimized Th2ZnGa3Pt6 structure.

Summary:
Formation energy ... -0.683 eV/atom
M_tot ... 0.00 μB per formula unit
Theoretical density ... 12099 kg/m³

Lattice parameters (Å, degrees): 4.074 4.074 15.787 90.00 90.00 90.00
Positions (direct):
Pt (0.000, 0.000, 0.154)
Pt (0.000, 0.500, 0.602)
Pt (0.500, 0.000, 0.602)
Pt (0.500, 0.000, 0.398)
Pt (0.000, 0.000, 0.846)
Pt (0.000, 0.500, 0.398)
Zn (0.500, 0.500, 0.500)
Th (0.500, 0.500, 0.776)
Th (0.500, 0.500, 0.224)
Ga (0.000, 0.000, 0.000)
Ga (0.000, 0.000, 0.311)
Ga (0.000, 0.000, 0.689)


2.
DFT (PBE-GGA) results for a geometry-optimized Mg2TcHg structure.

Summary:
Formation energy ... 0.144 eV/atom
M_tot ... 0.00 μB per formula unit
Theoretical density ... 7983 kg/m³

Lattice parameters (Å, degrees): 5.080 5.080 2.946 89.98 89.98 108.25
Positions (direct):
Mg (0.500, 0.500, 0.000)
Mg (0.000, 0.000, 0.000)
Tc (0.500, 0.000, 0.500)
Hg (0.000, 0.500, 0.500)


3.
DFT (PBE-GGA) results for a geometry-optimized TmCd23Hg6 structure.

Summary:
Formation energy ... 0.023 eV/atom
M_tot ... 0.00 μB per formula unit
Theoretical density ... 9192 kg/m³

Lattice parameters (Å, degrees): 10.037 10.037 10.037 60.00 60.00 60.00
Positions (direct):
Hg (0.718, 0.282, 0.282)
Hg (0.282, 0.282, 0.718)
Hg (0.718, 0.282, 0.718)
Hg (0.718, 0.718, 0.282)
Hg (0.282, 0.718, 0.282)
Hg (0.282, 0.718, 0.718)
Cd (0.044, 0.652, 0.652)
Cd (0.122, 0.633, 0.122)
Cd (0.122, 0.122, 0.633)
Cd (0.500, 0.000, 0.000)
Cd (0.878, 0.878, 0.367)
Cd (0.652, 0.652, 0.652)
Cd (0.652, 0.044, 0.652)
Cd (0.000, 0.000, 0.000)
Cd (0.633, 0.122, 0.122)
Cd (0.000, 0.000, 0.500)
Cd (0.122, 0.122, 0.122)
Cd (0.000, 0.500, 0.500)
Cd (0.878, 0.878, 0.878)
Cd (0.956, 0.348, 0.348)
Cd (0.367, 0.878, 0.878)
Cd (0.500, 0.500, 0.000)
Cd (0.348, 0.348, 0.956)
Cd (0.348, 0.956, 0.348)
Cd (0.652, 0.652, 0.044)
Cd (0.878, 0.367, 0.878)
Cd (0.348, 0.348, 0.348)
Cd (0.500, 0.000, 0.500)
Cd (0.000, 0.500, 0.000)
Tm (0.500, 0.500, 0.500)


- Which value of theoretical density does entry 2 give?
  7983 kg/m³


- Among the records above, which one has the lowest theoretical density?
  Mg2TcHg


- Which of these has the highest theoretical density?
  Th2ZnGa3Pt6